DFT (PBE-GGA) results for a relaxed LiHf2As crystal. Values from VASP.

Quantum ESPRESSO input file:
```
&SYSTEM
  ibrav = 0, nat = 8, ntyp = 3
/
ATOMIC_SPECIES
As 74.92 As.upf
Hf 178.49 Hf.upf
Li 6.94 Li.upf
CELL_PARAMETERS angstrom
7.450 0.000 0.000
0.000 7.450 0.000
3.725 3.725 2.840
ATOMIC_POSITIONS crystal
As 0.000 0.000 0.000
As 0.750 0.250 0.500
Hf 0.641 0.125 0.250
Hf 0.109 0.625 0.250
Hf 0.375 0.359 0.750
Hf 0.875 0.891 0.750
Li 0.500 0.500 0.000
Li 0.250 0.750 0.500
```

* space group: No. 122


DFT (PBE-GGA) results for a relaxed PmPr5Al3 crystal. Values from VASP.

Quantum ESPRESSO input file:
```
&SYSTEM
  ibrav = 0, nat = 18, ntyp = 3
/
ATOMIC_SPECIES
Pm 145.00 Pm.upf
Pr 140.91 Pr.upf
Al 26.98 Al.upf
CELL_PARAMETERS angstrom
-2.912 -5.779 -2.463
4.174 -4.981 6.754
-8.545 3.673 1.486
ATOMIC_POSITIONS crystal
Pm 0.000 0.000 0.000
Pm 0.500 0.000 0.000
Pr 0.000 0.680 0.359
Pr 0.500 0.320 0.641
Pr 0.000 0.320 0.641
Pr 0.500 0.680 0.359
Pr 0.750 0.666 0.674
Pr 0.750 0.992 0.326
Pr 0.750 0.340 0.000
Pr 0.250 0.334 0.326
Pr 0.250 0.008 0.674
Pr 0.250 0.660 0.000
Al 0.750 0.332 0.331
Al 0.750 0.001 0.669
Al 0.750 0.669 0.000
Al 0.250 0.668 0.669
Al 0.250 0.999 0.331
Al 0.250 0.331 0.000
```

* space group: No. 63


DFT (PBE-GGA) results for a relaxed Ba2TcSnRh crystal. Values from VASP.

Quantum ESPRESSO input file:
```
&SYSTEM
  ibrav = 0, nat = 5, ntyp = 4
/
ATOMIC_SPECIES
Tc 98.00 Tc.upf
Rh 102.91 Rh.upf
Ba 137.33 Ba.upf
Sn 118.71 Sn.upf
CELL_PARAMETERS angstrom
5.918 0.000 0.000
0.000 5.117 0.000
0.000 0.000 5.918
ATOMIC_POSITIONS crystal
Tc 0.500 0.500 0.500
Rh 0.000 0.000 0.000
Ba 0.000 0.000 0.500
Ba 0.500 0.000 0.000
Sn 0.000 0.500 0.000
```

* space group: No. 123


no.,ΔH_f (0 K) (meV per atom),D(E_F) (states/eV/cell),calculated total energy (eV per atom)
1,-5,7.74,-6.6228
2,-218,20.46,-4.6484
3,535,6.63,-4.5783